# 1
First-principles (PBE) data for Na6Li after structural relaxation, as listed in Alexandria.

As for the formation energy: 389 meV per atom. As for the excess energy over the best structure of this formula in the dataset: 2.476 eV/f.u.

The space group is Im-3m (No. 229) and the conventional cell measures 8.776, 8.776 and 8.776 Å, with angles of 90.00, 90.00 and 90.00 degrees. The inequivalent atoms are Na at (0.000, 0.250, 0.500) and Li at (0.000, 0.000, 0.000).

# 2
First-principles (PBE) data for RbCe2AgS5 after structural relaxation, as listed in Alexandria.

As for the raw formation energy: -1416 meV per atom.

The space group is I4/mcm (No. 140) and the conventional cell measures 7.778, 7.778 and 14.684 Å, with angles of 90.00, 90.00 and 90.00 degrees. The inequivalent atoms are Rb at (0.000, 0.000, 0.250), Ce at (0.165, 0.335, 0.000), Ag at (0.000, 0.500, 0.250), S at (0.000, 0.000, 0.000) and S at (0.145, 0.355, 0.384).

# 3
First-principles (PBE) data for TbSm2DyMg after structural relaxation, as listed in Alexandria.

As for the formation energy: 175 meV per atom.

The space group is Pmma (No. 51) and the conventional cell measures 5.931, 7.508 and 7.140 Å, with angles of 90.00, 90.00 and 90.00 degrees. The inequivalent atoms are Tb at (0.250, 0.000, 0.123), Sm at (0.250, 0.286, 0.807), Dy at (0.250, 0.500, 0.346) and Mg at (0.000, 0.000, 0.500).

What is the formula in the second record?
RbCe2AgS5